(w)
Here is a relaxed TaBeAl3 crystal from the Alexandria database. Energies are from PBE.

```
data_TaBeAl3
_chemical_formula_sum 'Ta1 Be1 Al3'
_cell_length_a 5.009
_cell_length_b 5.009
_cell_length_c 5.009
_cell_angle_alpha 90.00
_cell_angle_beta 90.00
_cell_angle_gamma 90.00
_space_group_name_H-M_alt 'P 1'
_space_group_IT_number 1
loop_
_space_group_symop_operation_xyz
'x,y,z'
loop_
_atom_site_label
_atom_site_type_symbol
_atom_site_fract_x
_atom_site_fract_y
_atom_site_fract_z
_atom_site_occupancy
Ta1 Ta 0.000 0.000 0.000 1
Be1 Be 0.500 0.500 0.500 1
Al1 Al 0.000 0.000 0.500 1
Al2 Al 0.000 0.500 0.000 1
Al3 Al 0.500 0.000 0.000 1
```

## Properties
Calculated volume, Å³/cell: 125.7

=====

(x)
Here is a relaxed TaBeAl3 crystal from the Alexandria database. Energies are from PBE.

```
data_TaBeAl3
_chemical_formula_sum 'Ta1 Be1 Al3'
_cell_length_a 4.296
_cell_length_b 4.296
_cell_length_c 4.296
_cell_angle_alpha 90.00
_cell_angle_beta 90.00
_cell_angle_gamma 90.00
_space_group_name_H-M_alt 'P 1'
_space_group_IT_number 1
loop_
_space_group_symop_operation_xyz
'x,y,z'
loop_
_atom_site_label
_atom_site_type_symbol
_atom_site_fract_x
_atom_site_fract_y
_atom_site_fract_z
_atom_site_occupancy
Ta1 Ta 0.000 0.000 0.000 1
Be1 Be 0.500 0.500 0.500 1
Al1 Al 0.000 0.500 0.500 1
Al2 Al 0.500 0.000 0.500 1
Al3 Al 0.500 0.500 0.000 1
```

## Properties
Calculated volume, Å³/cell: 79.3

=====

Quick ranking, most stable first: (x), (w).